BaSn2SI: relaxed, GGA-PBE.

Symmetry: P4/mmm
Total DFT energy (no corrections) in eV/atom: -2.80
Total magnetization in μB per formula unit: 0.00

a b c (Å): 5.7737 6.6701 5.7737
angles (deg): 90.00 90.00 90.00
Last column: nearest neighbours and their distance in Å.
Sites, in units of the cell vectors:
S: 0.5000 0.5000 0.5000  4 Ba 4.08, 8 Sn 4.41
I: 0.0000 0.0000 0.0000  4 Sn 2.89
Sn: 0.5000 0.0000 0.0000  2 I 2.89
Sn: 0.0000 0.0000 0.5000  2 I 2.89
Ba: 0.0000 0.5000 0.0000  2 I 3.34

Ba2SnS2I2: relaxed, GGA-PBE.

Symmetry: I4/mmm
Total DFT energy (no corrections) in eV/atom: -4.15
Total magnetization in μB per formula unit: 0.00

a b c (Å): 5.4059 5.4059 9.6479
angles (deg): 106.27 106.27 90.00
Last column: nearest neighbours and their distance in Å.
Sites, in units of the cell vectors:
Sn: 0.0000 0.0000 0.0000  4 S 2.70
Ba: 0.6105 0.6105 0.2209  4 S 3.34, 1 I 3.58
Ba: 0.3895 0.3895 0.7791  4 S 3.34, 1 I 3.58
I: 0.1874 0.1874 0.3747  1 Sn 3.32, 1 Ba 3.58
I: 0.8126 0.8126 0.6253  1 Sn 3.32, 1 Ba 3.58
S: 0.5000 0.0000 0.0000  2 Sn 2.70
S: 0.0000 0.5000 0.0000  2 Sn 2.70